[1]
DFT (PBE) results for a relaxed TaZn2 crystal.

The space group is P6_3/mmc, No. 194.

Cell: 5.052 5.052 16.273 Å, 90.00 90.00 120.00°
Fractional positions:
Zn (0.161, 0.839, 0.250)
Ta (0.000, 0.000, 0.909)
Zn (0.000, 0.500, 0.500)
Ta (0.000, 0.000, 0.409)
Zn (0.667, 0.333, 0.873)
Ta (0.000, 0.000, 0.091)
Zn (0.333, 0.667, 0.373)
Ta (0.667, 0.333, 0.157)
Zn (0.839, 0.679, 0.750)
Ta (0.333, 0.667, 0.843)
Zn (0.500, 0.000, 0.500)
Ta (0.333, 0.667, 0.657)
Zn (0.500, 0.000, 0.000)
Ta (0.667, 0.333, 0.343)
Zn (0.500, 0.500, 0.500)
Zn (0.500, 0.500, 0.000)
Ta (0.000, 0.000, 0.591)
Zn (0.839, 0.161, 0.750)
Zn (0.161, 0.321, 0.250)
Zn (0.000, 0.500, 0.000)
Zn (0.667, 0.333, 0.627)
Zn (0.679, 0.839, 0.250)
Zn (0.333, 0.667, 0.127)
Zn (0.321, 0.161, 0.750)

***

[2]
DFT (PBE) results for a relaxed Th6Ge5Bi crystal.

The space group is C2/m, No. 12.

Cell: 7.540 7.553 7.545 Å, 59.97 80.37 70.48°
Fractional positions:
Th (0.741, 0.433, 0.653)
Th (0.741, 0.086, 0.347)
Bi (0.000, 0.000, 0.000)
Ge (0.000, 0.667, 0.665)
Ge (0.500, 0.161, 0.677)
Ge (0.500, 0.500, 0.000)
Th (0.744, 0.738, 0.000)
Ge (0.500, 0.839, 0.323)
Th (0.259, 0.914, 0.653)
Th (0.259, 0.567, 0.347)
Ge (0.000, 0.333, 0.335)
Th (0.256, 0.262, 0.000)

***

[3]
DFT (PBE) results for a relaxed K2MgTlBr crystal.

The space group is P4/mmm, No. 123. The calculation puts the uncorrected formation energy at -304 meV per atom.

Cell: 6.131 5.854 6.131 Å, 90.00 90.00 90.00°
Fractional positions:
Tl (0.500, 0.500, 0.500)
K (0.500, 0.000, 0.000)
Mg (0.000, 0.500, 0.000)
Br (0.000, 0.000, 0.000)
K (0.000, 0.000, 0.500)

***

[4]
DFT (PBE) results for a relaxed CaTc2Se crystal.

The space group is Pm, No. 6. The calculation puts the uncorrected formation energy at 23 meV per atom.

Cell: 3.623 3.723 6.427 Å, 74.58 90.00 90.00°
Fractional positions:
Tc (0.000, 0.943, 0.073)
Se (0.500, 0.823, 0.767)
Ca (0.000, 0.424, 0.537)
Tc (0.500, 0.311, 0.122)

***

Calculated density in g/cm3, matching the order above: 11.5, 9.3, 2.9, 6.3
E_tot in eV/atom, matching the order above: -4.8802, -6.7060, -1.8696, -6.5315